# 1
Entry from Alexandria: a relaxed GaBiPO2 crystal (PBE-GGA).

a = 4.1646 Å, b = 4.1646 Å, c = 5.5271 Å
α = 90.00°, β = 90.00°, γ = 90.00°
Fractional positions:
Ga1 0.0000 0.0000 0.0000
Bi1 0.5000 0.5000 0.5000
P1 0.5000 0.5000 0.0000
O1 0.0000 0.5000 0.5000
O2 0.5000 0.0000 0.5000

Calculated values
Energy above the most stable polymorph in this dataset in eV/atom: 0.331
Symmetry: P4/mmm, No. 123

=====

# 2
Entry from Alexandria: a relaxed GaBiP2O crystal (PBE-GGA).

a = 4.9759 Å, b = 4.9759 Å, c = 3.7187 Å
α = 90.00°, β = 90.00°, γ = 90.00°
Fractional positions:
Ga1 0.0000 0.0000 0.0000
Bi1 0.5000 0.5000 0.5000
P1 0.0000 0.5000 0.0000
P2 0.5000 0.0000 0.0000
O1 0.0000 0.0000 0.5000

Calculated values
Energy above the most stable polymorph in this dataset in eV/atom: 0.000
Symmetry: P4/mmm, No. 123

=====

# 3
Entry from Alexandria: a relaxed GaBiPO2 crystal (PBE-GGA).

a = 3.9750 Å, b = 3.9750 Å, c = 4.8067 Å
α = 90.00°, β = 90.00°, γ = 90.00°
Fractional positions:
Ga1 0.0000 0.0000 0.0000
Bi1 0.5000 0.5000 0.5000
P1 0.0000 0.0000 0.5000
O1 0.0000 0.5000 0.0000
O2 0.5000 0.0000 0.0000

Calculated values
Energy above the most stable polymorph in this dataset in eV/atom: 0.000
Symmetry: P4/mmm, No. 123

=====

# 4
Entry from Alexandria: a relaxed GaBiP2O crystal (PBE-GGA).

a = 5.3338 Å, b = 5.3338 Å, c = 4.1834 Å
α = 90.00°, β = 90.00°, γ = 90.00°
Fractional positions:
Ga1 0.0000 0.0000 0.0000
Bi1 0.5000 0.5000 0.5000
P1 0.0000 0.5000 0.5000
P2 0.5000 0.0000 0.5000
O1 0.5000 0.5000 0.0000

Calculated values
Energy above the most stable polymorph in this dataset in eV/atom: 0.558
Symmetry: P4/mmm, No. 123

=====

# 5
Entry from Alexandria: a relaxed PaGa2BiO8 crystal (PBE-GGA).

a = 5.9408 Å, b = 5.9408 Å, c = 5.9408 Å
α = 108.78°, β = 108.78°, γ = 110.86°
Fractional positions:
Pa1 0.0000 0.0000 0.0000
Ga1 0.2500 0.7500 0.5000
Ga2 0.5000 0.5000 0.0000
Bi1 0.7500 0.2500 0.5000
O1 0.0514 0.3654 0.3140
O2 0.0514 0.7373 0.6860
O3 0.1159 0.3013 0.8146
O4 0.2627 0.9486 0.3140
O5 0.4867 0.3013 0.1854
O6 0.6346 0.9486 0.6860
O7 0.6987 0.5133 0.8146
O8 0.6987 0.8841 0.1854

Calculated values
Symmetry: I-4m2, No. 119

=====

# 6
Entry from Alexandria: a relaxed GaBi2PbO6 crystal (PBE-GGA).

a = 6.0512 Å, b = 6.0512 Å, c = 6.0512 Å
α = 58.22°, β = 58.22°, γ = 58.22°
Fractional positions:
Ga1 0.0000 0.0000 0.0000
Bi1 0.2906 0.2906 0.2906
Bi2 0.7873 0.7873 0.7873
Pb1 0.5092 0.5092 0.5092
O1 0.1312 0.7232 0.3190
O2 0.1761 0.6566 0.8715
O3 0.3190 0.1312 0.7232
O4 0.6566 0.8715 0.1761
O5 0.7232 0.3190 0.1312
O6 0.8715 0.1761 0.6566

Calculated values
Symmetry: R3, No. 146

=====

# 7
Entry from Alexandria: a relaxed GaBiPb2O5 crystal (PBE-GGA).

a = 9.4766 Å, b = 9.4766 Å, c = 9.8905 Å
α = 90.00°, β = 90.00°, γ = 159.17°
Fractional positions:
Ga1 0.0664 0.9336 0.5000
Ga2 0.9336 0.0664 0.0000
Bi1 0.2677 0.7323 0.0480
Bi2 0.7323 0.2677 0.5480
Pb1 0.3766 0.6234 0.7194
Pb2 0.4071 0.5929 0.3486
Pb3 0.5929 0.4071 0.8486
Pb4 0.6234 0.3766 0.2194
O1 0.0103 0.9897 0.8810
O2 0.1522 0.8478 0.0337
O3 0.1518 0.8482 0.3959
O4 0.2461 0.7539 0.6915
O5 0.4300 0.5700 0.0925
O6 0.5700 0.4300 0.5925
O7 0.7539 0.2461 0.1915
O8 0.8478 0.1522 0.5337
O9 0.8482 0.1518 0.8959
O10 0.9897 0.0103 0.3810

Calculated values
Symmetry: Cmc2_1, No. 36

=====

# 8
Entry from Alexandria: a relaxed GaBi2PbO crystal (PBE-GGA).

a = 5.4205 Å, b = 5.4205 Å, c = 5.5978 Å
α = 90.00°, β = 90.00°, γ = 90.00°
Fractional positions:
Ga1 0.0000 0.0000 0.0000
Bi1 0.0000 0.5000 0.0000
Bi2 0.5000 0.0000 0.0000
Pb1 0.0000 0.0000 0.5000
O1 0.5000 0.5000 0.5000

Calculated values
Energy above the most stable polymorph in this dataset in eV/atom: 0.976
Symmetry: P4/mmm, No. 123

=====

It is found that the raw formation energy values, taken in the order of the records, are -0.057, 0.108, -0.388, 0.666, -1.957, -1.208, -1.245, 0.777 eV/atom.
It is found that the total moment values, taken in the order of the records, are 0.00, 0.00, 0.11, 0.00, 0.00, 0.00, 0.00, 1.56 μB/cell.